## CaY6Er2 (PBE)

Data for an optimized crystal structure of CaY6Er2.

Lattice parameters (Å, degrees): 3.5672 9.6797 17.5110 90.00 90.00 90.00
Space group Immm (No. 71)
Symmetry-distinct sites (fractional):
Ca 0.0000 0.0000 0.0000 [2 per cell]
Y 0.0000 0.1673 0.5000 [4 per cell]
Y 0.0000 0.3188 0.3268 [8 per cell]
Er 0.0000 0.5000 0.1474 [4 per cell]

Results
* energy relative to the elements: 1.1 eV per formula unit

## Ca2Y4Er (PBE)

Data for an optimized crystal structure of Ca2Y4Er.

Lattice parameters (Å, degrees): 3.6367 37.3092 3.5854 90.00 90.00 90.00
Space group Cmmm (No. 65)
Symmetry-distinct sites (fractional):
Ca 0.0000 0.2056 0.0000 [4 per cell]
Y 0.0000 0.0665 0.0000 [4 per cell]
Y 0.0000 0.3683 0.5000 [4 per cell]
Er 0.0000 0.5000 0.5000 [2 per cell]

Results
* energy relative to the elements: 0.5 eV per formula unit

## CaY6Er12 (PBE)

Data for an optimized crystal structure of CaY6Er12.

Lattice parameters (Å, degrees): 15.0962 15.0962 9.9825 90.00 90.00 120.00
Space group R-3m (No. 166, hexagonal axes)
Symmetry-distinct sites (fractional):
Ca 0.0000 0.0000 0.0000 [3 per cell]
Y 0.0559 0.5279 0.2101 [18 per cell]
Er 0.0000 0.3898 0.5000 [18 per cell]
Er 0.0727 0.1453 0.2839 [18 per cell]

Results
* energy relative to the elements: 8.5 eV per formula unit

no.,total magnetic moment (μB/f.u.),density of states at the Fermi level (states/eV per cell)
1,0.0,33.028
2,0.0,19.616
3,0.0,72.155